Entry 1:
Entry from Alexandria: an optimized crystal structure of CaIn2Cu2 (PBE).

The energy of formation comes out at -124 meV per atom. The calculation puts the volume at 112.21 Å³ per cell. The value obtained for the spin magnetization is 0.000 μB per formula unit. The calculation puts the density of states at the Fermi level at 0.4993 states/eV/atom. The space group is No. 139.

Lattice parameters (Å, degrees): 6.1039 6.1039 6.1039 134.95 134.95 65.61
Element x y z (fractional)
Ca1 0.0000 0.0000 0.0000
In1 0.3612 0.3612 0.0000
In2 0.6388 0.6388 0.0000
Cu1 0.2500 0.7500 0.5000
Cu2 0.7500 0.2500 0.5000

Entry 2:
Entry from Alexandria: an optimized crystal structure of CaIn2Cu (PBE).

The energy of formation comes out at -299 meV per atom. The calculation puts the volume at 733.88 Å³ per cell. The value obtained for the spin magnetization is 0.000 μB per formula unit. The calculation puts the density of states at the Fermi level at 0.3784 states/eV/atom. The space group is No. 62.

Lattice parameters (Å, degrees): 16.7026 7.5302 5.8349 90.00 90.00 90.00
Element x y z (fractional)
Ca1 0.1081 0.2500 0.2488
Ca2 0.1432 0.7500 0.4741
Ca3 0.3568 0.2500 0.9741
Ca4 0.3919 0.7500 0.7488
Ca5 0.6081 0.2500 0.2512
Ca6 0.6432 0.7500 0.0259
Ca7 0.8568 0.2500 0.5259
Ca8 0.8919 0.7500 0.7512
In1 0.0346 0.0499 0.7481
In2 0.0346 0.4501 0.7481
In3 0.2142 0.5512 0.9750
In4 0.2142 0.9488 0.9750
In5 0.2858 0.0512 0.4750
In6 0.2858 0.4488 0.4750
In7 0.4654 0.5499 0.2481
In8 0.4654 0.9501 0.2481
In9 0.5346 0.0499 0.7519
In10 0.5346 0.4501 0.7519
In11 0.7142 0.5512 0.5250
In12 0.7142 0.9488 0.5250
In13 0.7858 0.0512 0.0250
In14 0.7858 0.4488 0.0250
In15 0.9654 0.5499 0.2519
In16 0.9654 0.9501 0.2519
Cu1 0.0719 0.7500 0.9864
Cu2 0.1747 0.2500 0.7378
Cu3 0.3253 0.7500 0.2378
Cu4 0.4281 0.2500 0.4864
Cu5 0.5719 0.7500 0.5136
Cu6 0.6747 0.2500 0.7622
Cu7 0.8253 0.7500 0.2622
Cu8 0.9281 0.2500 0.0136

Entry 3:
Entry from Alexandria: an optimized crystal structure of CaIn2Cu (PBE).

The energy of formation comes out at -155 meV per atom. The calculation puts the volume at 97.59 Å³ per cell. The value obtained for the spin magnetization is 0.000 μB per formula unit. The calculation puts the density of states at the Fermi level at 0.4008 states/eV/atom. The space group is No. 10.

Lattice parameters (Å, degrees): 3.7777 4.5385 5.8794 90.00 104.51 90.00
Element x y z (fractional)
Ca1 0.0000 0.0000 0.0000
In1 0.3537 0.5000 0.7136
In2 0.6463 0.5000 0.2864
Cu1 0.5000 0.0000 0.5000

Entry 4:
Entry from Alexandria: an optimized crystal structure of CaIn8Cu2 (PBE).

The energy of formation comes out at 74 meV per atom. The calculation puts the volume at 325.43 Å³ per cell. The value obtained for the spin magnetization is 0.000 μB per formula unit. The calculation puts the density of states at the Fermi level at 0.6099 states/eV/atom. The space group is No. 123.

Lattice parameters (Å, degrees): 6.2983 6.2983 8.2037 90.00 90.00 90.00
Element x y z (fractional)
Ca1 0.0000 0.0000 0.0000
In1 0.2532 0.2532 0.2976
In2 0.2532 0.2532 0.7024
In3 0.2532 0.7468 0.2976
In4 0.2532 0.7468 0.7024
In5 0.7468 0.2532 0.2976
In6 0.7468 0.2532 0.7024
In7 0.7468 0.7468 0.2976
In8 0.7468 0.7468 0.7024
Cu1 0.0000 0.5000 0.5000
Cu2 0.5000 0.0000 0.5000

Entry 5:
Entry from Alexandria: an optimized crystal structure of CaIn2Cu (PBE).

The energy of formation comes out at -320 meV per atom. The calculation puts the volume at 182.70 Å³ per cell. The value obtained for the spin magnetization is 0.000 μB per formula unit. The calculation puts the density of states at the Fermi level at 0.3192 states/eV/atom. The space group is No. 11.

Lattice parameters (Å, degrees): 4.4831 7.4953 5.8784 90.00 112.34 90.00
Element x y z (fractional)
Ca1 0.0673 0.2500 0.1349
Ca2 0.9327 0.7500 0.8651
In1 0.3564 0.0507 0.7130
In2 0.3564 0.4493 0.7130
In3 0.6436 0.5507 0.2870
In4 0.6436 0.9493 0.2870
Cu1 0.2151 0.7500 0.4295
Cu2 0.7849 0.2500 0.5705

Entry 6:
Entry from Alexandria: an optimized crystal structure of CaIn2Cu (PBE).

The energy of formation comes out at -201 meV per atom. The calculation puts the volume at 99.62 Å³ per cell. The value obtained for the spin magnetization is 0.000 μB per formula unit. The calculation puts the density of states at the Fermi level at 0.4356 states/eV/atom. The space group is No. 12.

Lattice parameters (Å, degrees): 4.5402 4.5402 6.1644 111.68 111.68 60.10
Element x y z (fractional)
Ca1 0.0000 0.0000 0.0000
In1 0.2156 0.2156 0.6467
In2 0.7844 0.7844 0.3533
Cu1 0.5000 0.5000 0.5000

Entry 7:
Entry from Alexandria: an optimized crystal structure of CaIn2Cu (PBE).

The energy of formation comes out at 52 meV per atom. The calculation puts the volume at 226.95 Å³ per cell. The value obtained for the spin magnetization is 0.000 μB per formula unit. The calculation puts the density of states at the Fermi level at 0.5342 states/eV/atom. The space group is No. 122.

Lattice parameters (Å, degrees): 9.9574 9.9574 9.9574 151.32 151.32 41.01
Element x y z (fractional)
Ca1 0.0000 0.0000 0.0000
Ca2 0.7500 0.2500 0.5000
In1 0.2399 0.6250 0.1149
In2 0.3750 0.4899 0.6149
In3 0.5101 0.1250 0.8851
In4 0.8750 0.7601 0.3851
Cu1 0.2500 0.7500 0.5000
Cu2 0.5000 0.5000 0.0000

Entry 8:
Entry from Alexandria: an optimized crystal structure of Ca3InCu (PBE).

The energy of formation comes out at -48 meV per atom. The calculation puts the volume at 166.49 Å³ per cell. The value obtained for the spin magnetization is 0.000 μB per formula unit. The calculation puts the density of states at the Fermi level at 1.1400 states/eV/atom. The space group is No. 221.

Lattice parameters (Å, degrees): 5.5013 5.5013 5.5013 90.00 90.00 90.00
Element x y z (fractional)
Ca1 0.0000 0.0000 0.5000
Ca2 0.0000 0.5000 0.0000
Ca3 0.5000 0.0000 0.0000
In1 0.5000 0.5000 0.5000
Cu1 0.0000 0.0000 0.0000

Entry 9:
Entry from Alexandria: an optimized crystal structure of CaIn2Cu2 (PBE).

The energy of formation comes out at -164 meV per atom. The calculation puts the volume at 216.11 Å³ per cell. The value obtained for the spin magnetization is 0.000 μB per formula unit. The calculation puts the density of states at the Fermi level at 0.3277 states/eV/atom. The space group is No. 139.

Lattice parameters (Å, degrees): 11.6473 11.6473 11.6473 158.29 158.29 30.90
Element x y z (fractional)
Ca1 0.1277 0.1277 0.0000
Ca2 0.8723 0.8723 0.0000
In1 0.0000 0.5000 0.5000
In2 0.3145 0.3145 0.0000
In3 0.5000 0.0000 0.5000
In4 0.6855 0.6855 0.0000
Cu1 0.2500 0.7500 0.5000
Cu2 0.4294 0.4294 0.0000
Cu3 0.5706 0.5706 0.0000
Cu4 0.7500 0.2500 0.5000

Entry 10:
Entry from Alexandria: an optimized crystal structure of Ca4InCu3 (PBE).

The energy of formation comes out at -185 meV per atom. The calculation puts the volume at 206.14 Å³ per cell. The value obtained for the spin magnetization is 0.000 μB per formula unit. The calculation puts the density of states at the Fermi level at 0.6300 states/eV/atom. The space group is No. 25.

Lattice parameters (Å, degrees): 4.1092 4.4604 11.2468 90.00 90.00 90.00
Element x y z (fractional)
Ca1 0.0000 0.0000 0.0000
Ca2 0.0000 0.5000 0.2703
Ca3 0.5000 0.0000 0.4745
Ca4 0.5000 0.5000 0.7864
In1 0.0000 0.0000 0.6970
Cu1 0.0000 0.5000 0.5598
Cu2 0.5000 0.0000 0.1906
Cu3 0.5000 0.5000 0.0772

Entry 11:
Entry from Alexandria: an optimized crystal structure of CaInCu10 (PBE).

The energy of formation comes out at -39 meV per atom. The calculation puts the volume at 178.23 Å³ per cell. The value obtained for the spin magnetization is 0.000 μB per formula unit. The calculation puts the density of states at the Fermi level at 0.3651 states/eV/atom. The space group is No. 47.

Lattice parameters (Å, degrees): 4.0770 5.0130 8.7205 90.00 90.00 90.00
Element x y z (fractional)
Ca1 0.0000 0.0000 0.0000
In1 0.0000 0.5000 0.5000
Cu1 0.0000 0.0000 0.3426
Cu2 0.0000 0.0000 0.6574
Cu3 0.0000 0.5000 0.1796
Cu4 0.0000 0.5000 0.8204
Cu5 0.5000 0.0000 0.5000
Cu6 0.5000 0.2496 0.2514
Cu7 0.5000 0.2496 0.7486
Cu8 0.5000 0.5000 0.0000
Cu9 0.5000 0.7504 0.2514
Cu10 0.5000 0.7504 0.7486

Entry 12:
Entry from Alexandria: an optimized crystal structure of CaInCu2 (PBE).

The energy of formation comes out at -70 meV per atom. The calculation puts the volume at 77.84 Å³ per cell. The value obtained for the spin magnetization is 0.000 μB per formula unit. The calculation puts the density of states at the Fermi level at 0.3959 states/eV/atom. The space group is No. 99.

Lattice parameters (Å, degrees): 3.2701 3.2701 7.2797 90.00 90.00 90.00
Element x y z (fractional)
Ca1 0.0000 0.0000 0.0000
In1 0.5000 0.5000 0.6582
Cu1 0.0000 0.0000 0.4227
Cu2 0.5000 0.5000 0.2761